Ba2TmW3O12 | Alexandria via LeMat-Bulk | GGA+U | relaxed; VASP energy = -0.5457 Ry/atom
1.0
3.789 2.187 6.173
-3.789 2.187 6.173
0.000 -4.375 6.173
Ba Tm W O
2 1 3 12
Cartesian
0.000 0.000 3.341
0.000 0.000 15.179
0.000 0.000 9.260
-1.894 -1.094 6.173
-1.894 1.094 12.347
0.000 2.187 6.173
-1.629 -0.940 8.076
0.000 -1.583 5.872
-1.371 0.792 5.872
0.000 -1.880 10.444
-1.629 0.940 10.444
-1.371 -0.792 12.649
1.371 0.792 5.872
1.629 -0.940 8.076
0.000 1.880 8.076
1.371 -0.792 12.649
0.000 1.583 12.649
1.629 0.940 10.444